No. 1
The following is a PBEsol calculation of a relaxed Ba2NF crystal, from Alexandria via LeMat-Bulk.

Calculated values
Uncorrected formation energy = -7.10 eV/f.u.
E above lowest polymorph = 0 meV/atom
DFT total energy = -5.463 eV per atom
Magnetization = 0.00 Bohr magnetons per cell

a = 3.9795 Å, b = 3.9795 Å, c = 7.0097 Å
α = 73.51°, β = 73.51°, γ = 60.00°
Atoms (fractional coordinates):
N (0.5000, 0.5000, 0.5000)
F (0.0000, 0.0000, 0.0000)
Ba (0.7577, 0.7577, 0.7268)
Ba (0.2423, 0.2423, 0.2732)



No. 2
The following is a PBEsol calculation of a relaxed PtBr2 crystal, from Alexandria via LeMat-Bulk.

Calculated values
Uncorrected formation energy = -0.33 eV/f.u.
DFT total energy = -3.678 eV per atom
Magnetization = 0.00 Bohr magnetons per cell

a = 3.5908 Å, b = 6.5144 Å, c = 7.9269 Å
α = 71.60°, β = 76.91°, γ = 74.00°
Atoms (fractional coordinates):
Pt (0.1385, 0.4665, 0.2564)
Br (0.5342, 0.7371, 0.1944)
Pt (0.8615, 0.5335, 0.7436)
Br (0.7458, 0.1960, 0.3123)
Br (0.4658, 0.2629, 0.8056)
Br (0.2542, 0.8040, 0.6877)



No. 3
The following is a PBEsol calculation of a relaxed BaP2Rh crystal, from Alexandria via LeMat-Bulk.

Calculated values
D(E_F) = 3.970 states/eV per cell
DFT total energy = -5.368 eV per atom
Magnetization = 0.00 Bohr magnetons per cell
ΔE_f = 0.100 eV/atom

a = 4.7855 Å, b = 4.7855 Å, c = 4.7855 Å
α = 60.00°, β = 60.00°, γ = 60.00°
Atoms (fractional coordinates):
Ba (0.0000, 0.0000, 0.0000)
P (0.7500, 0.7500, 0.7500)
P (0.2500, 0.2500, 0.2500)
Rh (0.5000, 0.5000, 0.5000)



No. 4
The following is a PBEsol calculation of a relaxed TaCdFe2 crystal, from Alexandria via LeMat-Bulk.

Calculated values
D(E_F) = 4.563 states/eV per cell
DFT total energy = -7.821 eV per atom
Magnetization = 1.06 Bohr magnetons per cell
ΔE_f = 0.098 eV/atom

a = 3.0508 Å, b = 3.0508 Å, c = 6.0706 Å
α = 90.00°, β = 90.00°, γ = 90.00°
Each line ends with the local moment (μB).
Atoms (fractional coordinates):
Fe (0.0000, 0.0000, 0.7781)  0.69
Ta (0.5000, 0.5000, 0.0000)  -0.20
Fe (0.0000, 0.0000, 0.2219)  0.69
Cd (0.5000, 0.5000, 0.5000)  -0.03



No. 5
The following is a PBEsol calculation of a relaxed Sr2CuSbO crystal, from Alexandria via LeMat-Bulk.

Calculated values
Uncorrected formation energy = -6.11 eV/f.u.
D(E_F) = 0.409 states/eV per cell
DFT total energy = -4.787 eV per atom
Magnetization = 0.00 Bohr magnetons per cell

a = 4.0703 Å, b = 5.1904 Å, c = 5.1904 Å
α = 90.00°, β = 90.00°, γ = 90.00°
Atoms (fractional coordinates):
Sr (0.0000, 0.0000, 0.5000)
Sr (0.0000, 0.5000, 0.0000)
O (0.0000, 0.0000, 0.0000)
Sb (0.5000, 0.5000, 0.5000)
Cu (0.5000, 0.0000, 0.0000)



No. 6
The following is a PBEsol calculation of a relaxed CaSb3P3O13 crystal, from Alexandria via LeMat-Bulk.

Calculated values
Uncorrected formation energy = -39.52 eV/f.u.
D(E_F) = 0.000 states/eV per cell
DFT total energy = -7.047 eV per atom
Magnetization = 0.00 Bohr magnetons per cell

a = 6.8883 Å, b = 8.1639 Å, c = 10.9865 Å
α = 103.35°, β = 90.00°, γ = 90.00°
Atoms (fractional coordinates):
O (0.4429, 0.2275, 0.9238)
P (0.2500, 0.2553, 0.2460)
O (0.2500, 0.1825, 0.3612)
O (0.9429, 0.7725, 0.0762)
O (0.7500, 0.9043, 0.8657)
O (0.7500, 0.1268, 0.1188)
P (0.7500, 0.7447, 0.7540)
Sb (0.0000, 0.0000, 0.0000)
O (0.0735, 0.7699, 0.3979)
O (0.7500, 0.6850, 0.2394)
O (0.2500, 0.0066, 0.5569)
O (0.5754, 0.6293, 0.7663)
O (0.2500, 0.0957, 0.1343)
Ca (0.7500, 0.3757, 0.8133)
O (0.2500, 0.3150, 0.7607)
P (0.7500, 0.1815, 0.5130)
Ca (0.2500, 0.6243, 0.1867)
O (0.5571, 0.7725, 0.0762)
O (0.7500, 0.5009, 0.0222)
Sb (0.2500, 0.6491, 0.7631)
O (0.7500, 0.8175, 0.6388)
O (0.2500, 0.8732, 0.8812)
O (0.5735, 0.2301, 0.6021)
O (0.0754, 0.3707, 0.2337)
P (0.2500, 0.8185, 0.4870)
Sb (0.7500, 0.3509, 0.2369)
O (0.0571, 0.2275, 0.9238)
O (0.4246, 0.3707, 0.2337)
Sb (0.2500, 0.2539, 0.5653)
O (0.9246, 0.6293, 0.7663)
P (0.7500, 0.6839, 0.0982)
O (0.7500, 0.9934, 0.4431)
O (0.2500, 0.7181, 0.5902)
O (0.9265, 0.2301, 0.6021)
O (0.7500, 0.2819, 0.4098)
O (0.4265, 0.7699, 0.3979)
Sb (0.5000, 0.0000, 0.0000)
Sb (0.7500, 0.7461, 0.4347)
O (0.2500, 0.4991, 0.9778)
P (0.2500, 0.3160, 0.9018)



No. 7
The following is a PBEsol calculation of a relaxed InPtRh2 crystal, from Alexandria via LeMat-Bulk.

Calculated values
D(E_F) = 4.079 states/eV per cell
DFT total energy = -6.731 eV per atom
Magnetization = 0.00 Bohr magnetons per cell
ΔE_f = -0.175 eV/atom

a = 2.8545 Å, b = 4.7555 Å, c = 4.7784 Å
α = 100.40°, β = 107.38°, γ = 90.00°
Atoms (fractional coordinates):
Pt (0.7489, 0.2399, 0.4978)
In (0.5015, 0.5011, 0.0031)
Rh (0.2515, 0.7647, 0.5031)
Rh (0.9980, 0.9943, 0.9961)



No. 8
The following is a PBEsol calculation of a relaxed ThAl10Fe2 crystal, from Alexandria via LeMat-Bulk.

Calculated values
D(E_F) = 5.666 states/eV per cell
DFT total energy = -5.505 eV per atom
Magnetization = 0.00 Bohr magnetons per cell
ΔE_f = -0.355 eV/atom

a = 6.7459 Å, b = 6.7459 Å, c = 8.9616 Å
α = 90.00°, β = 90.00°, γ = 97.77°
Atoms (fractional coordinates):
Al (0.4804, 0.2214, 0.2500)
Al (0.2273, 0.2273, 0.0000)
Al (0.7786, 0.5196, 0.2500)
Th (0.1253, 0.8747, 0.2500)
Al (0.1609, 0.8391, 0.9009)
Al (0.5906, 0.8662, 0.2500)
Al (0.5196, 0.7786, 0.7500)
Al (0.1338, 0.4094, 0.2500)
Al (0.6240, 0.3760, 0.9504)
Al (0.7727, 0.7727, 0.5000)
Al (0.8391, 0.1609, 0.0991)
Al (0.8662, 0.5906, 0.7500)
Al (0.2214, 0.4804, 0.7500)
Al (0.3760, 0.6240, 0.4504)
Al (0.3760, 0.6240, 0.0496)
Fe (0.5000, 0.0000, 0.0000)
Al (0.2273, 0.2273, 0.5000)
Al (0.6240, 0.3760, 0.5496)
Al (0.4094, 0.1338, 0.7500)
Al (0.1609, 0.8391, 0.5991)
Fe (0.5000, 0.0000, 0.5000)
Th (0.8747, 0.1253, 0.7500)
Fe (0.0000, 0.5000, 0.5000)
Al (0.8391, 0.1609, 0.4009)
Fe (0.0000, 0.5000, 0.0000)
Al (0.7727, 0.7727, 0.0000)